# 1
Entry from Alexandria: crystalline LiTcW2 at its relaxed geometry (PBE-GGA).

Values from the calculation:
Formation energy   0.421 eV/atom
Electronic total energy   -36.50 eV per cell

Unit cell a=2.7306 b=4.1106 c=5.3514 alpha=90.00 beta=90.00 gamma=90.00
Space group Pmmm (No. 47)
Inequivalent atoms, fractional coordinates:
Li (0.0000, 0.0000, 0.0000) (multiplicity 1)
Tc (0.0000, 0.0000, 0.5000) (multiplicity 1)
W (0.5000, 0.5000, 0.2536) (multiplicity 2)

# 2
Entry from Alexandria: crystalline LiTc2W at its relaxed geometry (PBE-GGA).

Values from the calculation:
Formation energy   0.250 eV/atom
Electronic total energy   -69.20 eV per cell

Unit cell a=3.0833 b=4.4647 c=8.4238 alpha=90.00 beta=90.00 gamma=90.00
Space group Immm (No. 71)
Inequivalent atoms, fractional coordinates:
Li (0.0000, 0.0000, 0.0000) (multiplicity 2)
Tc (0.0000, 0.5000, 0.2423) (multiplicity 4)
W (0.0000, 0.0000, 0.5000) (multiplicity 2)

# 3
Entry from Alexandria: crystalline LiTcW at its relaxed geometry (PBE-GGA).

Values from the calculation:
Formation energy   0.860 eV/atom
Electronic total energy   -90.61 eV per cell

Unit cell a=5.9007 b=5.9007 c=5.9007 alpha=90.00 beta=90.00 gamma=90.00
Space group F-43m (No. 216)
Inequivalent atoms, fractional coordinates:
Li (0.0000, 0.0000, 0.0000) (multiplicity 4)
Tc (0.2500, 0.2500, 0.7500) (multiplicity 4)
W (0.0000, 0.0000, 0.5000) (multiplicity 4)

Spin magnetization across the listed records, respectively: 0.00 0.00 0.00 μB per formula unit.
Ρ across the listed records, respectively: 13.1 11.1 9.3 Mg/m³.
DOS(E_F) across the listed records, respectively: 0.718 0.724 0.641 states/eV per atom.